1.
# Hf3BrCl GGA-PBEsol optimized geometry
data_Hf3BrCl
_cell_length_a 4.923
_cell_length_b 4.923
_cell_length_c 4.923
_cell_angle_alpha 90.00
_cell_angle_beta 90.00
_cell_angle_gamma 90.00
_symmetry_space_group_name_H-M 'P 1'
_symmetry_Int_Tables_number 1
loop_
_symmetry_equiv_pos_as_xyz
'x,y,z'
loop_
_atom_site_label
_atom_site_fract_x
_atom_site_fract_y
_atom_site_fract_z
Hf1 0.000 0.500 0.000
Hf2 0.000 0.000 0.500
Hf3 0.500 0.000 0.000
Br1 0.000 0.000 0.000
Cl1 0.500 0.500 0.500
# calculated total energy	-0.453	Ry per atom

---

2.
# Hf2AlZnTc GGA-PBEsol optimized geometry
data_Hf2AlZnTc
_cell_length_a 4.335
_cell_length_b 4.903
_cell_length_c 4.903
_cell_angle_alpha 90.00
_cell_angle_beta 90.00
_cell_angle_gamma 90.00
_symmetry_space_group_name_H-M 'P 1'
_symmetry_Int_Tables_number 1
loop_
_symmetry_equiv_pos_as_xyz
'x,y,z'
loop_
_atom_site_label
_atom_site_fract_x
_atom_site_fract_y
_atom_site_fract_z
Zn1 0.500 0.500 0.500
Hf1 0.000 0.000 0.500
Hf2 0.000 0.500 0.000
Tc1 0.500 0.000 0.000
Al1 0.000 0.000 0.000
# formation enthalpy at 0 K	466	kJ/mol of formula units

---

3.
# Mn3O2F4 GGA-PBEsol optimized geometry
data_Mn3O2F4
_cell_length_a 5.578
_cell_length_b 5.681
_cell_length_c 7.244
_cell_angle_alpha 73.17
_cell_angle_beta 73.74
_cell_angle_gamma 71.57
_symmetry_space_group_name_H-M 'P 1'
_symmetry_Int_Tables_number 1
loop_
_symmetry_equiv_pos_as_xyz
'x,y,z'
loop_
_atom_site_label
_atom_site_fract_x
_atom_site_fract_y
_atom_site_fract_z
Mn1 0.706 0.671 0.839
Mn2 0.308 0.368 0.684
Mn3 0.692 0.632 0.316
Mn4 0.294 0.329 0.161
Mn5 0.000 0.000 0.500
Mn6 0.000 0.000 0.000
O1 0.031 0.668 0.668
O2 0.202 0.241 0.963
O3 0.798 0.759 0.037
O4 0.969 0.332 0.332
F1 0.389 0.937 0.335
F2 0.924 0.882 0.301
F3 0.596 0.574 0.626
F4 0.076 0.118 0.699
F5 0.404 0.426 0.374
F6 0.611 0.063 0.665
F7 0.335 0.709 0.985
F8 0.665 0.291 0.015
# energy relative to the lowest polymorph listed for this composition	0.000	eV/atom

---

4.
# VF3 GGA-PBEsol optimized geometry
data_VF3
_cell_length_a 5.075
_cell_length_b 5.075
_cell_length_c 5.342
_cell_angle_alpha 61.64
_cell_angle_beta 61.64
_cell_angle_gamma 60.00
_symmetry_space_group_name_H-M 'P 1'
_symmetry_Int_Tables_number 1
loop_
_symmetry_equiv_pos_as_xyz
'x,y,z'
loop_
_atom_site_label
_atom_site_fract_x
_atom_site_fract_y
_atom_site_fract_z
F1 0.250 0.859 0.250
F2 0.641 0.250 0.250
F3 0.141 0.359 0.750
F4 0.359 0.750 0.750
F5 0.750 0.141 0.750
F6 0.859 0.641 0.250
V1 0.500 0.500 0.500
V2 0.000 0.000 0.000
# calculated total energy	-0.494	Ry per atom

---

5.
# NbPt3Br GGA-PBEsol optimized geometry
data_NbPt3Br
_cell_length_a 4.631
_cell_length_b 4.631
_cell_length_c 4.631
_cell_angle_alpha 90.00
_cell_angle_beta 90.00
_cell_angle_gamma 90.00
_symmetry_space_group_name_H-M 'P 1'
_symmetry_Int_Tables_number 1
loop_
_symmetry_equiv_pos_as_xyz
'x,y,z'
loop_
_atom_site_label
_atom_site_fract_x
_atom_site_fract_y
_atom_site_fract_z
Nb1 0.500 0.500 0.500
Br1 0.000 0.000 0.000
Pt1 0.000 0.500 0.000
Pt2 0.000 0.000 0.500
Pt3 0.500 0.000 0.000
# calculated total energy	-0.395	Ry per atom

---

6.
# MgCd2Pt GGA-PBEsol optimized geometry
data_MgCd2Pt
_cell_length_a 4.062
_cell_length_b 4.062
_cell_length_c 5.138
_cell_angle_alpha 113.29
_cell_angle_beta 113.29
_cell_angle_gamma 90.00
_symmetry_space_group_name_H-M 'P 1'
_symmetry_Int_Tables_number 1
loop_
_symmetry_equiv_pos_as_xyz
'x,y,z'
loop_
_atom_site_label
_atom_site_fract_x
_atom_site_fract_y
_atom_site_fract_z
Mg1 0.000 0.000 0.000
Pt1 0.500 0.500 0.000
Cd1 0.750 0.250 0.500
Cd2 0.250 0.750 0.500
# formation enthalpy at 0 K	-151	kJ/mol of formula units

---

7.
# SrTa2Re GGA-PBEsol optimized geometry
data_SrTa2Re
_cell_length_a 2.898
_cell_length_b 2.898
_cell_length_c 10.051
_cell_angle_alpha 90.00
_cell_angle_beta 90.00
_cell_angle_gamma 110.98
_symmetry_space_group_name_H-M 'P 1'
_symmetry_Int_Tables_number 1
loop_
_symmetry_equiv_pos_as_xyz
'x,y,z'
loop_
_atom_site_label
_atom_site_fract_x
_atom_site_fract_y
_atom_site_fract_z
Re1 0.500 0.500 0.500
Sr1 0.500 0.500 0.000
Ta1 0.000 0.000 0.294
Ta2 0.000 0.000 0.706
# energy relative to the lowest polymorph listed for this composition	0.022	eV/atom
# formation enthalpy at 0 K	213	kJ/mol of formula units

---

8.
# CrPBr2 GGA-PBEsol optimized geometry
data_CrPBr2
_cell_length_a 4.745
_cell_length_b 4.745
_cell_length_c 4.745
_cell_angle_alpha 60.00
_cell_angle_beta 60.00
_cell_angle_gamma 60.00
_symmetry_space_group_name_H-M 'P 1'
_symmetry_Int_Tables_number 1
loop_
_symmetry_equiv_pos_as_xyz
'x,y,z'
loop_
_atom_site_label
_atom_site_fract_x
_atom_site_fract_y
_atom_site_fract_z
Br1 0.250 0.250 0.250
Br2 0.750 0.750 0.750
Cr1 0.500 0.500 0.500
P1 0.000 0.000 0.000
# energy relative to the lowest polymorph listed for this composition	0.788	eV/atom

---

9.
# LaMoN3 GGA-PBEsol optimized geometry
data_LaMoN3
_cell_length_a 3.942
_cell_length_b 5.690
_cell_length_c 7.635
_cell_angle_alpha 111.88
_cell_angle_beta 90.00
_cell_angle_gamma 90.00
_symmetry_space_group_name_H-M 'P 1'
_symmetry_Int_Tables_number 1
loop_
_symmetry_equiv_pos_as_xyz
'x,y,z'
loop_
_atom_site_label
_atom_site_fract_x
_atom_site_fract_y
_atom_site_fract_z
La1 0.250 0.608 0.647
La2 0.750 0.961 0.353
Mo1 0.250 0.424 0.176
Mo2 0.750 0.249 0.824
N1 0.750 0.912 0.705
N2 0.750 0.454 0.115
N3 0.750 0.358 0.629
N4 0.250 0.338 0.885
N5 0.250 0.207 0.295
N6 0.250 0.729 0.371
# calculated total energy	-0.704	Ry per atom

---

10.
# Cr2ReW GGA-PBEsol optimized geometry
data_Cr2ReW
_cell_length_a 3.008
_cell_length_b 4.153
_cell_length_c 4.283
_cell_angle_alpha 90.00
_cell_angle_beta 90.00
_cell_angle_gamma 90.00
_symmetry_space_group_name_H-M 'P 1'
_symmetry_Int_Tables_number 1
loop_
_symmetry_equiv_pos_as_xyz
'x,y,z'
loop_
_atom_site_label
_atom_site_fract_x
_atom_site_fract_y
_atom_site_fract_z
Re1 0.500 0.500 0.000
W1 0.000 0.500 0.500
Cr1 0.000 0.000 0.000
Cr2 0.500 0.000 0.500
# formation enthalpy at 0 K	37	kJ/mol of formula units

---

11.
# CoSb2Mo GGA-PBEsol optimized geometry
data_CoSb2Mo
_cell_length_a 6.984
_cell_length_b 5.822
_cell_length_c 6.984
_cell_angle_alpha 126.85
_cell_angle_beta 90.00
_cell_angle_gamma 126.85
_symmetry_space_group_name_H-M 'P 1'
_symmetry_Int_Tables_number 1
loop_
_symmetry_equiv_pos_as_xyz
'x,y,z'
loop_
_atom_site_label
_atom_site_fract_x
_atom_site_fract_y
_atom_site_fract_z
Sb1 0.414 0.250 0.375
Sb2 0.836 0.250 0.875
Sb3 0.125 0.750 0.586
Sb4 0.625 0.750 0.164
Mo1 0.250 0.500 0.750
Mo2 0.000 0.000 0.000
Co1 0.750 0.500 0.250
Co2 0.500 0.000 0.500
# calculated total energy	-0.477	Ry per atom

---

12.
# YBeFe2 GGA-PBEsol optimized geometry
data_YBeFe2
_cell_length_a 3.800
_cell_length_b 3.800
_cell_length_c 5.212
_cell_angle_alpha 68.62
_cell_angle_beta 68.62
_cell_angle_gamma 60.00
_symmetry_space_group_name_H-M 'P 1'
_symmetry_Int_Tables_number 1
loop_
_symmetry_equiv_pos_as_xyz
'x,y,z'
loop_
_atom_site_label
_atom_site_fract_x
_atom_site_fract_y
_atom_site_fract_z
Y1 0.503 0.503 0.490
Be1 0.694 0.694 0.918
Fe1 0.997 0.997 0.008
Fe2 0.310 0.310 0.069
# formation enthalpy at 0 K	-40	kJ/mol of formula units

---

| no. | magnetic moment (Bohr magnetons per cell) |
| --- | --- |
| 1 | 0.00 |
| 2 | 0.00 |
| 3 | 26.00 |
| 4 | 4.00 |
| 5 | 2.41 |
| 6 | 0.00 |
| 7 | 0.00 |
| 8 | 3.38 |
| 9 | 0.00 |
| 10 | 0.01 |
| 11 | 2.69 |
| 12 | 1.43 |